Entry 1:
A relaxed structure of TcAsP2. Source: Alexandria, functional PBE.

Energy, eV for the cell shown: -77.27
Total magnetic moment, μB/cell: 0.00

```
data_TcAsP2
_chemical_formula_sum 'Tc3 As3 P6'
_cell_length_a 3.0125
_cell_length_b 3.0125
_cell_length_c 24.3157
_cell_angle_alpha 90.00
_cell_angle_beta 90.00
_cell_angle_gamma 120.00
_space_group_name_H-M_alt 'R -3 m'
_space_group_IT_number 166
_space_group_name_Hall '-R 3 2"'
loop_
_atom_site_label
_atom_site_type_symbol
_atom_site_fract_x
_atom_site_fract_y
_atom_site_fract_z
Tc1 Tc 0.0000 0.0000 0.0000
As1 As 0.0000 0.0000 0.5000
P1 P 0.0000 0.0000 0.2635
```

Entry 2:
A relaxed structure of Tc2AsP. Source: Alexandria, functional PBE.

Energy, eV for the cell shown: -94.10
Energy above the most stable polymorph in this dataset, eV per atom: 0.156
Total magnetic moment, μB/cell: 0.00

```
data_Tc2AsP
_chemical_formula_sum 'Tc6 As3 P3'
_cell_length_a 3.7640
_cell_length_b 3.7640
_cell_length_c 14.9843
_cell_angle_alpha 90.00
_cell_angle_beta 90.00
_cell_angle_gamma 120.00
_space_group_name_H-M_alt 'R 3 m'
_space_group_IT_number 160
_space_group_name_Hall 'R 3 -2"'
loop_
_atom_site_label
_atom_site_type_symbol
_atom_site_fract_x
_atom_site_fract_y
_atom_site_fract_z
Tc1 Tc 0.0000 0.0000 0.0000
Tc2 Tc 0.0000 0.0000 0.1938
As1 As 0.0000 0.0000 0.4319
P1 P 0.0000 0.0000 0.6028
```

Entry 3:
A relaxed structure of Tc2AsP. Source: Alexandria, functional PBE.

Energy, eV for the cell shown: -116.50
Energy above the most stable polymorph in this dataset, eV per atom: 0.716
Total magnetic moment, μB/cell: 0.00

```
data_Tc2AsP
_chemical_formula_sum 'Tc8 As4 P4'
_cell_length_a 6.183
_cell_length_b 6.183
_cell_length_c 6.183
_cell_angle_alpha 90.00
_cell_angle_beta 90.00
_cell_angle_gamma 90.00
_space_group_name_H-M_alt 'F -4 3 m'
_space_group_IT_number 216
_space_group_name_Hall 'F -4 2 3'
loop_
_atom_site_label
_atom_site_type_symbol
_atom_site_fract_x
_atom_site_fract_y
_atom_site_fract_z
Tc1 Tc 0.000 0.000 0.000
Tc2 Tc 0.250 0.250 0.250
As1 As 0.000 0.000 0.500
P1 P 0.250 0.250 0.750
```

Entry 4:
A relaxed structure of Tc2AsP. Source: Alexandria, functional PBE.

Energy, eV for the cell shown: -30.79
Energy above the most stable polymorph in this dataset, eV per atom: 0.299
Total magnetic moment, μB/cell: 0.00

```
data_Tc2AsP
_chemical_formula_sum 'Tc2 As1 P1'
_cell_length_a 3.047
_cell_length_b 3.540
_cell_length_c 5.704
_cell_angle_alpha 90.00
_cell_angle_beta 104.88
_cell_angle_gamma 90.00
_space_group_name_H-M_alt 'P 1 2/m 1'
_space_group_IT_number 10
_space_group_name_Hall '-P 2y'
loop_
_atom_site_label
_atom_site_type_symbol
_atom_site_fract_x
_atom_site_fract_y
_atom_site_fract_z
Tc1 Tc 0.132 0.000 0.273
As1 As 0.500 0.500 0.000
P1 P 0.000 0.500 0.500
```

Entry 5:
A relaxed structure of TcAsP2. Source: Alexandria, functional PBE.

Energy, eV for the cell shown: -50.64
Total magnetic moment, μB/cell: 0.00

```
data_TcAsP2
_chemical_formula_sum 'Tc2 As2 P4'
_cell_length_a 8.019
_cell_length_b 3.152
_cell_length_c 5.044
_cell_angle_alpha 90.00
_cell_angle_beta 97.66
_cell_angle_gamma 90.00
_space_group_name_H-M_alt 'C 1 2/m 1'
_space_group_IT_number 12
_space_group_name_Hall '-C 2y'
loop_
_atom_site_label
_atom_site_type_symbol
_atom_site_fract_x
_atom_site_fract_y
_atom_site_fract_z
Tc1 Tc 0.000 0.000 0.000
As1 As 0.000 0.500 0.500
P1 P 0.225 0.500 0.186
```

Entry 6:
A relaxed structure of Tc2AsP. Source: Alexandria, functional PBE.

Energy, eV for the cell shown: -59.80
Energy above the most stable polymorph in this dataset, eV per atom: 0.522
Total magnetic moment, μB/cell: 0.00

```
data_Tc2AsP
_chemical_formula_sum 'Tc4 As2 P2'
_cell_length_a 3.903
_cell_length_b 3.903
_cell_length_c 7.625
_cell_angle_alpha 90.00
_cell_angle_beta 90.00
_cell_angle_gamma 90.00
_space_group_name_H-M_alt 'I -4 m 2'
_space_group_IT_number 119
_space_group_name_Hall 'I -4 -2'
loop_
_atom_site_label
_atom_site_type_symbol
_atom_site_fract_x
_atom_site_fract_y
_atom_site_fract_z
Tc1 Tc 0.000 0.000 0.000
Tc2 Tc 0.000 0.500 0.250
As1 As 0.000 0.500 0.750
P1 P 0.000 0.000 0.500
```

Entry 7:
A relaxed structure of TcAsP2. Source: Alexandria, functional PBE.

Energy, eV for the cell shown: -102.25
Total magnetic moment, μB/cell: 0.00

```
data_TcAsP2
_chemical_formula_sum 'Tc4 As4 P8'
_cell_length_a 5.509
_cell_length_b 5.509
_cell_length_c 10.551
_cell_angle_alpha 90.00
_cell_angle_beta 90.00
_cell_angle_gamma 90.00
_space_group_name_H-M_alt 'I -4 2 d'
_space_group_IT_number 122
_space_group_name_Hall 'I -4 2bw'
loop_
_atom_site_label
_atom_site_type_symbol
_atom_site_fract_x
_atom_site_fract_y
_atom_site_fract_z
Tc1 Tc 0.000 0.000 0.000
As1 As 0.000 0.000 0.500
P1 P 0.226 0.250 0.125
```

Entry 8:
A relaxed structure of Tc2AsP. Source: Alexandria, functional PBE.

Energy, eV for the cell shown: -120.24
Energy above the most stable polymorph in this dataset, eV per atom: 0.482
Total magnetic moment, μB/cell: 0.00

```
data_Tc2AsP
_chemical_formula_sum 'Tc8 As4 P4'
_cell_length_a 5.423
_cell_length_b 5.423
_cell_length_c 10.707
_cell_angle_alpha 90.00
_cell_angle_beta 90.00
_cell_angle_gamma 90.00
_space_group_name_H-M_alt 'I -4 2 d'
_space_group_IT_number 122
_space_group_name_Hall 'I -4 2bw'
loop_
_atom_site_label
_atom_site_type_symbol
_atom_site_fract_x
_atom_site_fract_y
_atom_site_fract_z
Tc1 Tc 0.230 0.250 0.125
As1 As 0.000 0.000 0.500
P1 P 0.000 0.000 0.000
```

Entry 9:
A relaxed structure of V2TcAsP. Source: Alexandria, functional PBE.

Energy, eV for the cell shown: -34.35
Total magnetic moment, μB/cell: 0.00

```
data_V2TcAsP
_chemical_formula_sum 'V2 Tc1 As1 P1'
_cell_length_a 4.663
_cell_length_b 4.663
_cell_length_c 4.372
_cell_angle_alpha 90.00
_cell_angle_beta 90.00
_cell_angle_gamma 90.00
_space_group_name_H-M_alt 'P 4/m m m'
_space_group_IT_number 123
_space_group_name_Hall '-P 4 2'
loop_
_atom_site_label
_atom_site_type_symbol
_atom_site_fract_x
_atom_site_fract_y
_atom_site_fract_z
V1 V 0.000 0.500 0.000
Tc1 Tc 0.000 0.000 0.000
As1 As 0.500 0.500 0.500
P1 P 0.000 0.000 0.500
```

Entry 10:
A relaxed structure of Tc2AsPW. Source: Alexandria, functional PBE.

Energy, eV for the cell shown: -39.86
Energy above the most stable polymorph in this dataset, eV per atom: 0.000
Total magnetic moment, μB/cell: 0.76

```
data_Tc2AsPW
_chemical_formula_sum 'Tc2 As1 P1 W1'
_cell_length_a 4.392
_cell_length_b 4.392
_cell_length_c 4.514
_cell_angle_alpha 90.00
_cell_angle_beta 90.00
_cell_angle_gamma 90.00
_space_group_name_H-M_alt 'P 4/m m m'
_space_group_IT_number 123
_space_group_name_Hall '-P 4 2'
loop_
_atom_site_label
_atom_site_type_symbol
_atom_site_fract_x
_atom_site_fract_y
_atom_site_fract_z
Tc1 Tc 0.000 0.500 0.000
As1 As 0.000 0.000 0.500
P1 P 0.500 0.500 0.000
W1 W 0.500 0.500 0.500
```

Entry 11:
A relaxed structure of Tc2AsPW. Source: Alexandria, functional PBE.

Energy, eV for the cell shown: -36.34
Energy above the most stable polymorph in this dataset, eV per atom: 0.705
Total magnetic moment, μB/cell: 1.67

```
data_Tc2AsPW
_chemical_formula_sum 'Tc2 As1 P1 W1'
_cell_length_a 4.800
_cell_length_b 4.800
_cell_length_c 4.526
_cell_angle_alpha 90.00
_cell_angle_beta 90.00
_cell_angle_gamma 90.00
_space_group_name_H-M_alt 'P 4/m m m'
_space_group_IT_number 123
_space_group_name_Hall '-P 4 2'
loop_
_atom_site_label
_atom_site_type_symbol
_atom_site_fract_x
_atom_site_fract_y
_atom_site_fract_z
Tc1 Tc 0.000 0.500 0.000
As1 As 0.000 0.000 0.500
P1 P 0.500 0.500 0.500
W1 W 0.500 0.500 0.000
```

Entry 12:
A relaxed structure of Y2TcAsP. Source: Alexandria, functional PBE.

Energy, eV for the cell shown: -30.73
Total magnetic moment, μB/cell: 2.54

```
data_Y2TcAsP
_chemical_formula_sum 'Y2 Tc1 As1 P1'
_cell_length_a 5.368
_cell_length_b 5.368
_cell_length_c 4.602
_cell_angle_alpha 90.00
_cell_angle_beta 90.00
_cell_angle_gamma 90.00
_space_group_name_H-M_alt 'P 4/m m m'
_space_group_IT_number 123
_space_group_name_Hall '-P 4 2'
loop_
_atom_site_label
_atom_site_type_symbol
_atom_site_fract_x
_atom_site_fract_y
_atom_site_fract_z
Y1 Y 0.000 0.500 0.000
Tc1 Tc 0.000 0.000 0.500
As1 As 0.500 0.500 0.000
P1 P 0.500 0.500 0.500
```

Question: The highest energy belongs to which entry?
Answer: Y2TcAsP